Below is a relaxed structure of LiMn2V4O8, with properties calculated at the GGA+U level.

Cell and atoms, written as POSCAR:
```
LiMn2V4O8
1.0
-3.105 3.186 4.514
3.105 -3.186 4.514
3.105 3.186 -4.514
Li Mn V O
1 2 4 8
Cartesian
0.000 0.000 0.000 Li
0.000 0.000 4.500 Mn
0.000 3.186 2.187 Mn
1.719 0.000 1.174 V
4.492 0.000 1.174 V
3.105 -1.509 3.310 V
3.105 1.509 3.310 V
0.000 1.447 0.952 O
1.377 3.186 -1.232 O
1.728 0.000 3.282 O
3.105 1.507 1.309 O
0.000 4.925 0.952 O
-1.696 3.186 3.472 O
1.696 3.186 3.472 O
0.000 1.679 5.823 O
```

Results
- Energy relative to the lowest polymorph listed for this composition: 0.213 eV per atom